(1)
This record from Alexandria describes a geometry-optimized LiZn8Pt2 structure. The functional is GGA-PBE.

Computed properties:
- formation energy (kJ per mole of atoms) = -21.4
- E (eV/atom) = -2.420
- SG = C2/m, No. 12
- DOS at the Fermi energy (states/eV per atom) = 0.378

Lattice parameters (Å, degrees): 4.200 6.505 6.505 105.87 90.06 90.06
Fractional coordinates of all 11 atoms:
Li  0.500  0.000  0.000
Zn  0.999  0.963  0.702
Zn  0.500  0.762  0.238
Zn  0.499  0.669  0.669
Zn  0.001  0.298  0.037
Zn  0.001  0.037  0.298
Zn  0.999  0.702  0.963
Zn  0.500  0.238  0.762
Zn  0.501  0.331  0.331
Pt  0.000  0.367  0.633
Pt  0.000  0.633  0.367

(2)
This record from Alexandria describes a geometry-optimized SrMg2TlN structure. The functional is GGA-PBE.

Computed properties:
- formation energy without anion corrections (eV/atom) = 1.6986
- E (eV/atom) = -1.414
- SG = P4/mmm, No. 123
- DOS at the Fermi energy (states/eV per atom) = 1.210

Lattice parameters (Å, degrees): 6.865 6.594 6.865 90.00 90.00 90.00
Site moments in Bohr magnetons follow the coordinates.
Fractional coordinates of all 5 atoms:
Mg  0.000  0.000  0.500  0.00
Mg  0.500  0.000  0.000  0.00
Tl  0.000  0.500  0.000  -0.11
Sr  0.000  0.000  0.000  -0.05
N  0.500  0.500  0.500  1.74